# 1
Compound: BaSbCl2
Source: Alexandria
Functional: PBE-GGA
Structure: optimized geometry

abc: 11.3957 11.3957 11.3957
angles: 22.37 22.37 22.37
Last column: nearest neighbours and their distance in Å.
Atoms (fractional coordinates):
Ba: 0.7500 0.7500 0.7500  6 Cl 3.03
Cl: 0.0341 0.0341 0.0341  3 Ba 3.03
Cl: 0.4659 0.4659 0.4659  3 Ba 3.03
Sb: 0.2500 0.2500 0.2500  6 Sb 4.42, 6 Cl 4.67

## Properties
The relative energy among the computed polymorphs comes out at 0.1207 eV/atom.

=====

# 2
Compound: Pu4Pd2Au
Source: Alexandria
Functional: PBE-GGA
Structure: optimized geometry

abc: 4.8862 4.8862 7.7033
angles: 71.51 71.51 60.00
Last column: nearest neighbours and their distance in Å.
Atoms (fractional coordinates):
Pd: 0.1414 0.1414 0.5758  4 Pu 2.91-2.96, 3 Pd 3.02, 1 Au 3.04
Pd: 0.8586 0.8586 0.4242  4 Pu 2.91-2.96, 3 Pd 3.02, 1 Au 3.04
Pu: 0.4330 0.4330 0.7010  4 Pu 2.88-2.97, 3 Pd 2.96
Pu: 0.5670 0.5670 0.2990  4 Pu 2.88-2.97, 3 Pd 2.96
Pu: 0.2765 0.2765 0.1705  1 Pd 2.91, 3 Pu 2.97, 3 Au 3.07
Pu: 0.7235 0.7235 0.8295  1 Pd 2.91, 3 Pu 2.97, 3 Au 3.07
Au: 0.0000 0.0000 0.0000  2 Pd 3.04, 6 Pu 3.07

## Properties
As for the energy relative to the elements: -0.27 eV/atom. The relative energy among the computed polymorphs comes out at 0.0198 eV/atom.

=====

# 3
Compound: CuSi2Ni
Source: Alexandria
Functional: PBE-GGA
Structure: optimized geometry

abc: 3.6619 3.7039 3.5992
angles: 90.00 90.00 90.00
Last column: nearest neighbours and their distance in Å.
Atoms (fractional coordinates):
Ni: 0.0000 0.5000 0.5000  8 Si 2.57-2.58, 4 Cu 2.60
Cu: 0.5000 0.0000 0.5000  8 Si 2.57-2.58, 4 Ni 2.60
Si: 0.0000 0.0000 0.0000  4 Cu 2.57, 4 Ni 2.58, 4 Si 2.60
Si: 0.5000 0.5000 0.0000  4 Ni 2.57, 4 Cu 2.58, 4 Si 2.60

## Properties
For the total energy, the calculation gives -5.1891 eV/atom.

=====

# 4
Compound: PrNiOs
Source: Alexandria
Functional: PBE-GGA
Structure: optimized geometry

abc: 4.8777 4.8777 5.2963
angles: 90.00 90.00 114.63
Last column: nearest neighbours and their distance in Å.
Atoms (fractional coordinates):
Ni: 0.2757 0.7243 0.7500  2 Os 2.62, 4 Pr 2.72-2.83
Ni: 0.7243 0.2757 0.2500  2 Os 2.62, 4 Pr 2.72-2.83
Pr: 0.3497 0.6503 0.2500  4 Ni 2.72-2.83
Pr: 0.6503 0.3497 0.7500  4 Ni 2.72-2.83
Os: 0.0000 0.0000 0.5000  2 Ni 2.62, 2 Os 2.65
Os: 0.0000 0.0000 0.0000  2 Ni 2.62, 2 Os 2.65

## Properties
As for the energy relative to the elements: 0.21 eV/atom. The relative energy among the computed polymorphs comes out at 0.3930 eV/atom.